Record 1
Density functional theory data (PBE) for a relaxed structure of La2MgZn4Ge3.

Cell: 4.3058 4.3058 11.0280 Å, 90.00 90.00 90.00°
Last column: nearest neighbours and their distance in Å.
Fractional positions:
Zn 0.0000 0.0000 0.0000  4 Ge 2.62
Ge 0.5000 0.0000 0.8653  5 Zn 2.49-2.62
Ge 0.0000 0.0000 0.5000  4 Zn 2.65
Zn 0.5000 0.0000 0.6397  3 Ge 2.49-2.65, 2 Mg 2.65
Zn 0.5000 0.5000 0.0000  4 Ge 2.62
La 0.0000 0.5000 0.7583  6 Ge 3.27-3.57, 8 Zn 3.31-3.43, 2 Mg 3.57
Zn 0.0000 0.5000 0.3603  3 Ge 2.49-2.65, 2 Mg 2.65
La 0.5000 0.0000 0.2417  6 Ge 3.27-3.57, 8 Zn 3.31-3.43, 2 Mg 3.57
Mg 0.5000 0.5000 0.5000  4 Zn 2.65
Ge 0.0000 0.5000 0.1347  5 Zn 2.49-2.62

Results
Crystal system = tetragonal

Record 2
Density functional theory data (PBE) for a relaxed structure of ZnFe2Br.

Cell: 4.3796 4.3796 4.3796 Å, 60.00 60.00 60.00°
Last column: nearest neighbours and their distance in Å.
Fractional positions:
Zn 0.0000 0.0000 0.0000  8 Fe 2.68
Fe 0.7500 0.7500 0.7500  4 Zn 2.68, 4 Br 2.68
Br 0.5000 0.5000 0.5000  8 Fe 2.68
Fe 0.2500 0.2500 0.2500  4 Br 2.68, 4 Zn 2.68

Results
Crystal system = cubic
Energy above the lowest structure with this stoichiometry = 1.817 eV/f.u.

Record 3
Density functional theory data (PBE) for a relaxed structure of PmDy2Ho2Tm.

Cell: 3.4913 16.0846 6.9050 Å, 90.00 90.00 90.00°
Last column: nearest neighbours and their distance in Å.
Fractional positions:
Tm 0.5000 0.5000 0.0000  2 Pm 3.45, 2 Tm 3.49, 4 Ho 3.51, 4 Dy 3.52
Dy 0.5000 0.8430 0.2509  4 Ho 3.44-3.48, 2 Dy 3.49, 2 Tm 3.52, 2 Pm 3.52
Ho 0.5000 0.8440 0.7497  4 Dy 3.44-3.48, 2 Ho 3.49, 2 Tm 3.51, 2 Pm 3.51
Ho 0.5000 0.1560 0.2503  4 Dy 3.44-3.48, 2 Ho 3.49, 2 Tm 3.51, 2 Pm 3.51
Dy 0.0000 0.3430 0.2491  4 Ho 3.44-3.48, 2 Dy 3.49, 2 Tm 3.52, 2 Pm 3.52
Pm 0.5000 0.5000 0.5000  2 Tm 3.45, 2 Pm 3.49, 4 Ho 3.51, 4 Dy 3.52
Ho 0.0000 0.6560 0.2497  4 Dy 3.44-3.48, 2 Ho 3.49, 2 Tm 3.51, 2 Pm 3.51
Tm 0.0000 0.0000 0.5000  2 Pm 3.45, 2 Tm 3.49, 4 Ho 3.51, 4 Dy 3.52
Pm 0.0000 0.0000 0.0000  2 Tm 3.45, 2 Pm 3.49, 4 Ho 3.51, 4 Dy 3.52
Ho 0.0000 0.3440 0.7503  4 Dy 3.44-3.48, 2 Ho 3.49, 2 Tm 3.51, 2 Pm 3.51
Dy 0.0000 0.6570 0.7509  4 Ho 3.44-3.48, 2 Dy 3.49, 2 Tm 3.52, 2 Pm 3.52
Dy 0.5000 0.1570 0.7491  4 Ho 3.44-3.48, 2 Dy 3.49, 2 Tm 3.52, 2 Pm 3.52

Results
Crystal system = orthorhombic

Number 1: energy -34.9 eV per cell. Number 2: energy -17.1 eV per cell. Number 3: energy -53.2 eV per cell.